# Al2VNi3 | the Alexandria database | PBE-GGA | optimized geometry
data_Al2VNi3
_chemical_formula_sum 'Al2 V1 Ni3'
_cell_length_a 2.729
_cell_length_b 2.729
_cell_length_c 9.733
_cell_angle_alpha 90.00
_cell_angle_beta 90.00
_cell_angle_gamma 90.00
_symmetry_space_group_name_H-M 'P 1'
_symmetry_Int_Tables_number 1
_symmetry_space_group_name_Hall 'P 1'
loop_
_atom_site_label
_atom_site_type_symbol
_atom_site_fract_x
_atom_site_fract_y
_atom_site_fract_z
Al1 Al 0.500 0.500 0.836
Al2 Al 0.500 0.500 0.164
Ni1 Ni 0.000 0.000 0.676
Ni2 Ni 0.000 0.000 0.324
Ni3 Ni 0.000 0.000 0.000
V1 V 0.500 0.500 0.500
# DFT total energy = -36.669 eV per cell
# DOS at the Fermi energy = 6.39 states/eV/f.u.

---

# CaNiSeN2 | the Alexandria database | PBE-GGA | optimized geometry
data_CaNiSeN2
_chemical_formula_sum 'Ca1 Ni1 Se1 N2'
_cell_length_a 4.414
_cell_length_b 4.414
_cell_length_c 5.850
_cell_angle_alpha 90.00
_cell_angle_beta 90.00
_cell_angle_gamma 90.00
_symmetry_space_group_name_H-M 'P 1'
_symmetry_Int_Tables_number 1
_symmetry_space_group_name_Hall 'P 1'
loop_
_atom_site_label
_atom_site_type_symbol
_atom_site_fract_x
_atom_site_fract_y
_atom_site_fract_z
Se1 Se 0.000 0.000 0.500
N1 N 0.000 0.500 0.000
N2 N 0.500 0.000 0.000
Ni1 Ni 0.500 0.500 0.500
Ca1 Ca 0.000 0.000 0.000
# DOS at the Fermi energy = 6.43 states/eV/f.u.
# formation energy from raw total energies = 1.6522 eV per atom
# energy relative to the lowest polymorph listed for this composition = 1245 meV/atom